Entry 1:
Crystalline SrInBi at its relaxed geometry, computed with PBE.

Cell: 5.766 3.631 9.613 Å, 90.00 90.03 90.00°
Space group P2/m (No. 10)
Inequivalent atoms, fractional coordinates:
Sr (0.247, 0.000, 0.233) x2
In (0.250, 0.500, 0.552) x2
Bi (0.253, 0.500, 0.865) x2

Energy of formation: -0.46 eV per atom
V: 33.55 A^3/atom
Crystal system: monoclinic
Polymorph energy (0 for the lowest one): 93 meV/atom

---

Entry 2:
Crystalline CoMoH2 at its relaxed geometry, computed with PBE.

Cell: 5.023 5.023 5.023 Å, 90.00 90.00 90.00°
Space group Fm-3m (No. 225)
Inequivalent atoms, fractional coordinates:
Co (0.000, 0.000, 0.000) x4
Mo (0.000, 0.000, 0.500) x4
H (0.250, 0.250, 0.250) x8

V: 7.92 A^3/atom
Crystal system: cubic
Polymorph energy (0 for the lowest one): 487 meV/atom

---

Entry 3:
Crystalline Nb3Ga at its relaxed geometry, computed with PBE.

Cell: 5.198 5.198 5.198 Å, 90.00 90.00 90.00°
Space group Pm-3n (No. 223)
Inequivalent atoms, fractional coordinates:
Nb (0.000, 0.250, 0.500) x6
Ga (0.000, 0.000, 0.000) x2

Energy of formation: -0.20 eV per atom
V: 17.56 A^3/atom
Crystal system: cubic